1.
Material: Ac2Mn2As2O3
Method: DFT, PBE with a Hubbard U
State: optimized geometry

a = 9.563 Å, b = 9.563 Å, c = 9.563 Å
α = 153.86°, β = 153.86°, γ = 37.31°
Element x y z (fractional)
Ac1 0.181 0.181 0.000
Ac2 0.819 0.819 0.000
Mn1 0.000 0.500 0.500
Mn2 0.500 0.000 0.500
As1 0.410 0.410 0.000
As2 0.590 0.590 0.000
O1 0.000 0.000 0.000
O2 0.250 0.750 0.500
O3 0.750 0.250 0.500

Calculated values
- E: -64.0 eV/cell
- Theoretical density: 7.5 Mg/m³

---

2.
Material: AcMnAs2O6
Method: DFT, PBE with a Hubbard U
State: optimized geometry

a = 6.618 Å, b = 6.618 Å, c = 6.618 Å
α = 49.22°, β = 49.22°, γ = 49.22°
Element x y z (fractional)
Ac1 0.000 0.000 0.000
Mn1 0.500 0.500 0.500
As1 0.272 0.272 0.272
As2 0.728 0.728 0.728
O1 0.078 0.740 0.469
O2 0.260 0.531 0.922
O3 0.469 0.078 0.740
O4 0.531 0.922 0.260
O5 0.740 0.469 0.078
O6 0.922 0.260 0.531

Calculated values
- E: -67.7 eV/cell
- Theoretical density: 5.7 Mg/m³

---

3.
Material: AcMn2AsO8
Method: DFT, PBE with a Hubbard U
State: optimized geometry

a = 5.153 Å, b = 5.153 Å, c = 6.877 Å
α = 90.00°, β = 90.00°, γ = 120.00°
Element x y z (fractional)
Ac1 0.000 0.000 0.000
Mn1 0.333 0.667 0.694
Mn2 0.667 0.333 0.306
As1 0.000 0.000 0.500
O1 0.002 0.717 0.336
O2 0.283 0.285 0.336
O3 0.285 0.002 0.664
O4 0.333 0.667 0.949
O5 0.667 0.333 0.051
O6 0.715 0.998 0.336
O7 0.717 0.715 0.664
O8 0.998 0.283 0.664

Calculated values
- E: -81.6 eV/cell
- Theoretical density: 5.7 Mg/m³